VASP calculation (PBE-GGA) on a relaxed LiNdDyBi crystal.

Properties
**DOS at the Fermi energy**: 1.0666 states/eV/atom
**Energy relative to the elements**: -334 meV/atom

Cell: 5.379 5.379 5.379 Å, 60.00 60.00 60.00°
Fractional positions:
Li 0.000 0.000 0.000
Nd 0.750 0.750 0.750
Dy 0.250 0.250 0.250
Bi 0.500 0.500 0.500

VASP calculation (PBE-GGA) on a relaxed Th2Co12B7 crystal.

Properties
**DOS at the Fermi energy**: 0.6485 states/eV/atom
**Energy relative to the elements**: -315 meV/atom

Cell: 8.581 8.581 3.424 Å, 90.00 90.00 120.00°
Fractional positions:
Th 0.000 0.000 0.000
Th 0.333 0.667 0.500
Co 0.052 0.285 0.500
Co 0.094 0.701 0.000
Co 0.234 0.948 0.500
Co 0.299 0.393 0.000
Co 0.399 0.185 0.000
Co 0.551 0.431 0.500
Co 0.569 0.120 0.500
Co 0.607 0.906 0.000
Co 0.715 0.766 0.500
Co 0.786 0.601 0.000
Co 0.815 0.214 0.000
Co 0.880 0.449 0.500
B 0.058 0.427 0.000
B 0.288 0.242 0.500
B 0.369 0.942 0.000
B 0.573 0.631 0.000
B 0.667 0.333 0.000
B 0.758 0.046 0.500
B 0.954 0.712 0.500

VASP calculation (PBE-GGA) on a relaxed MgGa2Ag6 crystal.

Properties
**DOS at the Fermi energy**: 0.2212 states/eV/atom
**Energy relative to the elements**: -49 meV/atom
**Energy above the most stable polymorph in this dataset**: 0.0097 eV per atom

Cell: 8.138 8.138 5.103 Å, 95.00 95.00 73.00°
Fractional positions:
Mg 0.118 0.882 0.750
Mg 0.882 0.118 0.250
Ga 0.216 0.455 0.906
Ga 0.455 0.216 0.406
Ga 0.545 0.784 0.594
Ga 0.784 0.545 0.094
Ag 0.015 0.754 0.197
Ag 0.097 0.354 0.339
Ag 0.246 0.985 0.303
Ag 0.319 0.576 0.483
Ag 0.354 0.097 0.839
Ag 0.424 0.681 0.017
Ag 0.576 0.319 0.983
Ag 0.646 0.903 0.161
Ag 0.681 0.424 0.517
Ag 0.754 0.015 0.697
Ag 0.903 0.646 0.661
Ag 0.985 0.246 0.803

VASP calculation (PBE-GGA) on a relaxed Zr3PaZn2 crystal.

Properties
**DOS at the Fermi energy**: 1.4445 states/eV/atom
**Energy relative to the elements**: -122 meV/atom

Cell: 3.071 3.071 13.125 Å, 90.00 90.00 90.00°
Fractional positions:
Zr 0.000 0.000 0.000
Zr 0.000 0.000 0.305
Zr 0.000 0.000 0.695
Pa 0.500 0.500 0.500
Zn 0.500 0.500 0.151
Zn 0.500 0.500 0.849

VASP calculation (PBE-GGA) on a relaxed Sc6Tl3Co crystal.

Properties
**DOS at the Fermi energy**: 0.8324 states/eV/atom
**Energy relative to the elements**: -121 meV/atom
**Energy above the most stable polymorph in this dataset**: 0.1098 eV per atom

Cell: 6.267 6.267 7.205 Å, 103.67 103.67 62.79°
Fractional positions:
Sc 0.147 0.647 0.645
Sc 0.178 0.178 0.836
Sc 0.353 0.853 0.355
Sc 0.647 0.147 0.645
Sc 0.822 0.822 0.164
Sc 0.853 0.353 0.355
Tl 0.318 0.318 0.268
Tl 0.500 0.500 0.000
Tl 0.682 0.682 0.732
Co 0.000 0.000 0.500

VASP calculation (PBE-GGA) on a relaxed Rb2CeI4Cl2 crystal.

Properties
**Raw formation energy**: -13.91 eV/f.u.

Cell: 8.021 8.021 6.885 Å, 99.54 99.54 63.61°
Fractional positions:
Rb 0.166 0.166 0.287
Rb 0.834 0.834 0.713
Ce 0.500 0.500 0.000
I 0.144 0.658 0.204
I 0.342 0.856 0.796
I 0.658 0.144 0.204
I 0.856 0.342 0.796
Cl 0.346 0.346 0.705
Cl 0.654 0.654 0.295

VASP calculation (PBE-GGA) on a relaxed Al2OsC crystal.

Properties
**DOS at the Fermi energy**: 0.5097 states/eV/atom
**Energy relative to the elements**: 445 meV/atom

Cell: 5.593 5.593 5.593 Å, 97.56 97.56 137.47°
Fractional positions:
Al 0.002 0.625 0.877
Al 0.375 0.252 0.377
Al 0.748 0.125 0.123
Al 0.875 0.998 0.623
Os 0.250 0.750 0.500
Os 0.500 0.500 0.000
C 0.000 0.000 0.000
C 0.750 0.250 0.500

VASP calculation (PBE-GGA) on a relaxed Tc2Ir crystal.

Properties
**DOS at the Fermi energy**: 1.1858 states/eV/atom
**Energy relative to the elements**: 655 meV/atom
**Energy above the most stable polymorph in this dataset**: 0.8670 eV per atom

Cell: 4.192 4.192 4.192 Å, 60.00 60.00 60.00°
Fractional positions:
Tc 0.250 0.250 0.250
Tc 0.750 0.750 0.750
Ir 0.000 0.000 0.000